[1]
Computed, not measured: a crystal of Mg2In relaxed with PBEsol at the meta-GGA SCAN level of DFT.

POSCAR file:
```
Mg2In
1.0
3.2707 0.0000 0.0000
-1.6353 5.7351 -0.0257
0.0000 -2.2866 7.2223
In Mg
2 4
Direct
0.9642 0.9285 0.2059
0.0358 0.0715 0.7941
0.6417 0.2834 0.5273
0.3583 0.7166 0.4727
0.6822 0.3644 0.1314
0.3178 0.6356 0.8686
```

Properties
Magnetic moment in μB per formula unit: 0.000
ΔE_f in eV/atom: -0.13
SG: C2/m
Electronic total energy in eV/atom: -14.5781

***

[2]
Computed, not measured: a crystal of CdOsBr2 relaxed with PBEsol at the meta-GGA SCAN level of DFT.

POSCAR file:
```
CdOsBr2
1.0
-1.4940 -3.3906 0.5626
0.9771 -2.8677 -2.2059
6.2431 -4.0234 4.8124
Os Cd Br
1 1 2
Direct
0.0000 0.0000 0.0000
0.5000 0.5000 0.5000
0.7156 0.7156 0.8532
0.2844 0.2844 0.1468
```

Properties
Formation energy (no corrections) in eV per formula unit: 1.6
Magnetic moment in μB per formula unit: 0.000
Relative energy among the computed polymorphs in meV per atom: 0.0
SG: R-3m
Electronic total energy in eV/atom: -34.8922

***

[3]
Computed, not measured: a crystal of LiInHg2 relaxed with PBEsol at the meta-GGA SCAN level of DFT.

POSCAR file:
```
LiInHg2
1.0
-3.0421 0.8581 0.0816
-0.6514 -2.4754 1.8573
1.4992 4.6725 6.7529
Hg In Li
2 1 1
Direct
0.0000 0.0000 0.2156
0.0000 0.0000 0.7844
0.5000 0.5000 0.5000
0.5000 0.5000 0.0000
```

Properties
Magnetic moment in μB per formula unit: 0.000
ΔE_f in eV/atom: -0.23
SG: P4/mmm
Electronic total energy in eV/atom: -43.2582

***

[4]
Computed, not measured: a crystal of Sc2ZnFe relaxed with PBEsol at the meta-GGA SCAN level of DFT.

POSCAR file:
```
Sc2ZnFe
1.0
-1.1754 0.3729 -4.2958
-4.3092 0.4173 -1.1096
-1.5373 3.8934 -1.5663
Fe Sc Zn
1 2 1
Direct
0.5000 0.5000 0.5000
0.0000 0.0000 0.0000
0.7500 0.7500 0.7500
0.2500 0.2500 0.2500
```

Properties
Magnetic moment in μB per formula unit: 1.901
ΔE_f in eV/atom: -0.02
SG: F-43m
Electronic total energy in eV/atom: -15.0468

***

[5]
Computed, not measured: a crystal of MnGaPt relaxed with PBEsol at the meta-GGA SCAN level of DFT.

POSCAR file:
```
MnGaPt
1.0
-0.8633 -4.1849 0.4889
1.0379 1.5429 -3.8781
5.1282 -0.9413 0.9980
Ga Pt Mn
2 2 2
Direct
0.3333 0.6667 0.7500
0.6667 0.3333 0.2500
0.3333 0.6667 0.2500
0.6667 0.3333 0.7500
0.0000 0.0000 0.0000
0.0000 0.0000 0.5000
```

Properties
Magnetic moment in μB per formula unit: 4.002
ΔE_f in eV/atom: -0.75
SG: P6_3/mmc
Electronic total energy in eV/atom: -35.6790

***

[6]
Computed, not measured: a crystal of YMgCu relaxed with PBEsol at the meta-GGA SCAN level of DFT.

POSCAR file:
```
YMgCu
1.0
4.4298 0.0000 0.0000
0.0000 6.8316 0.0000
0.0000 0.0000 8.1149
Cu Y Mg
4 4 4
Direct
0.7500 0.7534 0.8739
0.2500 0.2466 0.1261
0.2500 0.7466 0.3739
0.7500 0.2534 0.6261
0.7500 0.0391 0.3274
0.2500 0.9609 0.6726
0.7500 0.5391 0.1726
0.2500 0.4609 0.8274
0.7500 0.6381 0.5582
0.7500 0.1381 0.9418
0.2500 0.8619 0.0582
0.2500 0.3619 0.4418
```

Properties
Magnetic moment in μB per formula unit: 0.000
ΔE_f in eV/atom: -0.24
Relative energy among the computed polymorphs in meV per atom: 30.7
SG: Pnma
Electronic total energy in eV/atom: -16.2463

***

[7]
Computed, not measured: a crystal of La4MgCu relaxed with PBEsol at the meta-GGA SCAN level of DFT.

POSCAR file:
```
La4MgCu
1.0
6.3409 0.0000 0.0000
3.1704 5.4913 0.0000
3.1704 1.8304 5.1773
Mg La Cu
1 4 1
Direct
0.7500 0.7500 0.7500
0.8760 0.3747 0.3747
0.3747 0.3747 0.8760
0.3747 0.8760 0.3747
0.3747 0.3747 0.3747
0.0000 0.0000 0.0000
```

Properties
Magnetic moment in μB per formula unit: 0.000
ΔE_f in eV/atom: 0.50
SG: F-43m
Electronic total energy in eV/atom: -31.6013

***

[8]
Computed, not measured: a crystal of Ba2MgBr relaxed with PBEsol at the meta-GGA SCAN level of DFT.

POSCAR file:
```
Ba2MgBr
1.0
-6.0518 4.6715 1.5168
-0.7885 -2.9421 -7.1743
0.1694 -5.7413 5.2685
Ba Mg Br
4 2 2
Direct
0.0322 0.3750 0.9072
0.9678 0.8750 0.3428
0.4678 0.0928 0.1250
0.5322 0.6572 0.6250
0.5000 0.2500 0.7500
0.0000 0.5000 0.5000
0.5000 0.7500 0.2500
0.0000 0.0000 0.0000
```

Properties
Formation energy (no corrections) in eV per formula unit: -2.7
Magnetic moment in μB per formula unit: 0.102
Relative energy among the computed polymorphs in meV per atom: 99.0
SG: I-42d
Electronic total energy in eV/atom: -26.5539

***

[9]
Computed, not measured: a crystal of Re2NiBr relaxed with PBEsol at the meta-GGA SCAN level of DFT.

POSCAR file:
```
Re2NiBr
1.0
-2.8285 1.7526 0.5538
-1.2500 -2.9922 3.0844
3.3664 1.7621 3.0737
Ni Re Br
1 2 1
Direct
0.0000 0.5000 0.0000
0.3312 0.0000 0.1743
0.6688 0.0000 0.8257
0.5000 0.5000 0.5000
```

Properties
Formation energy (no corrections) in eV per formula unit: 3.9
Magnetic moment in μB per formula unit: 0.001
Relative energy among the computed polymorphs in meV per atom: 330.5
SG: P2/m
Electronic total energy in eV/atom: -43.4855

***

[10]
Computed, not measured: a crystal of KFeN2 relaxed with PBEsol at the meta-GGA SCAN level of DFT.

POSCAR file:
```
KFeN2
1.0
-1.3364 3.2413 1.9253
-2.0523 -0.4034 3.4094
1.6583 1.0886 3.4733
N K Fe
2 1 1
Direct
0.7500 0.7500 0.7500
0.2500 0.2500 0.2500
0.0000 0.0000 0.0000
0.5000 0.5000 0.5000
```

Properties
Formation energy (no corrections) in eV per formula unit: 6.4
Magnetic moment in μB per formula unit: 2.272
Relative energy among the computed polymorphs in meV per atom: 1693.8
SG: Fm-3m
Electronic total energy in eV/atom: -9.6573

***

[11]
Computed, not measured: a crystal of ZrMnBe2 relaxed with PBEsol at the meta-GGA SCAN level of DFT.

POSCAR file:
```
ZrMnBe2
1.0
3.7044 0.0000 0.0000
0.0000 3.7044 0.0000
-1.8522 -1.8522 3.6912
Zr Be Mn
1 2 1
Direct
0.2500 0.7500 0.5000
0.7500 0.2500 0.5000
0.0000 0.0000 0.0000
0.5000 0.5000 0.0000
```

Properties
Magnetic moment in μB per formula unit: 2.735
ΔE_f in eV/atom: 0.11
Relative energy among the computed polymorphs in meV per atom: 0.0
SG: I-4m2
Electronic total energy in eV/atom: -14.3058

***

[12]
Computed, not measured: a crystal of ZrScBe2 relaxed with PBEsol at the meta-GGA SCAN level of DFT.

POSCAR file:
```
ZrScBe2
1.0
3.1676 -0.0007 0.0006
-1.5847 3.8934 0.0173
0.0013 -1.2901 5.4858
Be Sc Zr
2 1 1
Direct
0.2509 0.5004 0.2449
0.7490 0.4996 0.7551
0.0000 0.0000 0.5000
0.5000 0.0000 0.0000
```

Properties
Magnetic moment in μB per formula unit: 0.000
ΔE_f in eV/atom: 0.27
Relative energy among the computed polymorphs in meV per atom: 346.7
SG: C2/m
Electronic total energy in eV/atom: -13.1439